Entry 1:
Material: NdCu
Method: DFT, meta-GGA SCAN
State: single point on PBEsol structure

Calculated values
Calculated total energy   -236.919 eV per cell
ΔH_f (0 K)   -224 meV/atom
ρ   7.7 g cm⁻³

abc: 4.4694 5.4802 7.2789
angles: 90.00 90.00 90.00
With the nearest neighbours (Å) after each atom.
Positions (direct):
Nd 0.2500 0.1173 0.1782  7 Cu 2.88-3.09
Nd 0.7500 0.8827 0.8218  7 Cu 2.88-3.09
Nd 0.7500 0.6173 0.3218  7 Cu 2.88-3.09
Cu 0.2500 0.6127 0.0338  2 Cu 2.60, 2 Nd 2.88-2.91
Cu 0.7500 0.1127 0.4662  2 Cu 2.60, 2 Nd 2.88-2.91
Nd 0.2500 0.3827 0.6782  7 Cu 2.88-3.09
Cu 0.2500 0.8873 0.5338  2 Cu 2.60, 2 Nd 2.88-2.91
Cu 0.7500 0.3873 0.9662  2 Cu 2.60, 2 Nd 2.88-2.91

Entry 2:
Material: Li2CaRh
Method: DFT, meta-GGA SCAN
State: single point on PBEsol structure

Calculated values
Calculated total energy   -48.793 eV per cell
ΔH_f (0 K)   -145 meV/atom
Excess energy over the best structure of this formula in the dataset   20 meV/atom
ρ   3.5 g cm⁻³

abc: 4.3284 4.3284 5.2499
angles: 65.65 65.65 60.00
With the nearest neighbours (Å) after each atom.
Positions (direct):
Li 0.7591 0.7591 0.7227  3 Rh 2.54, 3 Li 2.60
Ca 0.2449 0.2449 0.2653  4 Li 2.82-3.08, 4 Rh 2.96-3.00
Rh 0.4586 0.4586 0.6243  6 Li 2.54-2.75
Li 0.0416 0.0416 0.8752  3 Li 2.60, 3 Rh 2.75, 1 Ca 2.82

Entry 3:
Material: Mo2P2O11
Method: DFT, meta-GGA SCAN
State: single point on PBEsol structure

Calculated values
Calculated total energy   -769.439 eV per cell
Excess energy over the best structure of this formula in the dataset   5 meV/atom
ρ   3.3 g cm⁻³
Energy relative to the elements, uncorrected   -33.2 eV/f.u.

abc: 6.3219 10.7373 12.5788
angles: 90.00 90.00 90.00
With the nearest neighbours (Å) after each atom.
Positions (direct):
P 0.2500 0.5139 0.1587  4 O 1.49-1.58
O 0.7500 0.6499 0.3382  1 Mo 1.73
O 0.5539 0.2307 0.0368  1 P 1.53
O 0.7500 0.8501 0.8382  1 Mo 1.73
Mo 0.7500 0.5252 0.2506  2 O 1.66-1.73
O 0.9461 0.2693 0.5368  1 P 1.53
O 0.4450 0.9684 0.7291  1 P 1.53
O 0.2500 0.1793 0.3889  1 Mo 1.73
O 0.5539 0.2693 0.5368  1 P 1.53
O 0.9461 0.2307 0.0368  1 P 1.53
O 0.2500 0.3207 0.8889  1 Mo 1.73
O 0.9450 0.4684 0.7709  1 P 1.53
O 0.4450 0.5316 0.2291  1 P 1.53
O 0.0550 0.5316 0.2291  1 P 1.53
O 0.7500 0.8985 0.4065  1 P 1.49
Mo 0.7500 0.7722 0.9987  2 O 1.67-1.73
O 0.2500 0.9198 0.3901  1 P 1.51
O 0.0550 0.9684 0.7291  1 P 1.53
O 0.2500 0.9031 0.1680  1 Mo 1.66
O 0.2500 0.1015 0.5935  1 P 1.49
Mo 0.2500 0.2278 0.0013  2 O 1.67-1.73
P 0.7500 0.0139 0.3413  4 O 1.49-1.58
O 0.5550 0.4684 0.7709  1 P 1.53
P 0.2500 0.9861 0.6587  4 O 1.49-1.58
O 0.2500 0.8656 0.5860  2 P 1.58
O 0.7500 0.3656 0.9140  2 P 1.58
O 0.2500 0.6344 0.0860  2 P 1.58
O 0.0539 0.7693 0.9632  1 P 1.53
O 0.9450 0.0316 0.2709  1 P 1.53
P 0.2500 0.6862 0.9684  4 O 1.51-1.58
O 0.7500 0.1344 0.4140  2 P 1.58
O 0.2500 0.5802 0.8901  1 P 1.51
O 0.5550 0.0316 0.2709  1 P 1.53
O 0.2500 0.3985 0.0935  1 P 1.49
O 0.2500 0.1499 0.1618  1 Mo 1.73
P 0.7500 0.1862 0.5316  4 O 1.51-1.58
Mo 0.7500 0.7278 0.4987  2 O 1.67-1.73
O 0.7500 0.8207 0.6111  1 Mo 1.73
P 0.7500 0.4861 0.8413  4 O 1.49-1.58
O 0.7500 0.0969 0.8320  1 Mo 1.66
O 0.7500 0.6793 0.1111  1 Mo 1.73
O 0.2500 0.0837 0.9512  1 Mo 1.67
O 0.7500 0.4031 0.3320  1 Mo 1.66
Mo 0.7500 0.9748 0.7506  2 O 1.66-1.73
O 0.7500 0.5837 0.5488  1 Mo 1.67
O 0.2500 0.5969 0.6680  1 Mo 1.66
Mo 0.2500 0.2722 0.5013  2 O 1.67-1.73
O 0.7500 0.6015 0.9065  1 P 1.49
O 0.7500 0.0802 0.6099  1 P 1.51
P 0.2500 0.8138 0.4684  4 O 1.51-1.58
O 0.7500 0.4198 0.1099  1 P 1.51
Mo 0.2500 0.0252 0.2494  2 O 1.66-1.73
O 0.2500 0.3501 0.6618  1 Mo 1.73
O 0.4461 0.7307 0.4632  1 P 1.53
O 0.2500 0.4163 0.4512  1 Mo 1.67
O 0.0539 0.7307 0.4632  1 P 1.53
P 0.7500 0.3138 0.0316  4 O 1.51-1.58
O 0.7500 0.9163 0.0488  1 Mo 1.67
O 0.4461 0.7693 0.9632  1 P 1.53
Mo 0.2500 0.4748 0.7494  2 O 1.66-1.73

Entry 4:
Material: Ba2CeBiO6
Method: DFT, meta-GGA SCAN
State: single point on PBEsol structure

Calculated values
Calculated total energy   -265.939 eV per cell
ρ   7.0 g cm⁻³
Energy relative to the elements, uncorrected   -26.3 eV/f.u.

abc: 6.2209 6.2209 6.2209
angles: 60.00 60.00 60.00
With the nearest neighbours (Å) after each atom.
Positions (direct):
O 0.2508 0.2508 0.7492  1 Ce 2.19, 1 Bi 2.21
Ba 0.2500 0.2500 0.2500  12 O 3.11
O 0.7492 0.7492 0.2508  1 Ce 2.19, 1 Bi 2.21
O 0.7492 0.2508 0.2508  1 Ce 2.19, 1 Bi 2.21
Ce 0.5000 0.5000 0.5000  6 O 2.19
Bi 0.0000 0.0000 0.0000  6 O 2.21
O 0.2508 0.7492 0.2508  1 Ce 2.19, 1 Bi 2.21
O 0.7492 0.2508 0.7492  1 Ce 2.19, 1 Bi 2.21
Ba 0.7500 0.7500 0.7500  12 O 3.11
O 0.2508 0.7492 0.7492  1 Ce 2.19, 1 Bi 2.21

Entry 5:
Material: SmAl3Pb2O8
Method: DFT, meta-GGA SCAN
State: single point on PBEsol structure

Calculated values
Calculated total energy   -1234.279 eV per cell
ρ   6.0 g cm⁻³
Energy relative to the elements, uncorrected   -39.5 eV/f.u.

abc: 9.4985 9.4985 9.4985
angles: 90.00 90.00 90.00
With the nearest neighbours (Å) after each atom.
Positions (direct):
Al 0.0000 0.7500 0.5000  4 O 1.74
Sm 0.2500 0.2500 0.7500  8 O 2.30-2.55
O 0.1588 0.5145 0.1588  2 Al 1.74
O 0.8412 0.8412 0.5145  2 Al 1.74
O 0.9855 0.6588 0.6588  2 Al 1.74
Pb 0.8667 0.8667 0.1333  3 O 2.33
O 0.5145 0.1588 0.1588  2 Al 1.74
Al 0.5000 0.0000 0.2500  4 O 1.74
Al 0.2500 0.0000 0.5000  4 O 1.74
O 0.4855 0.1588 0.8412  2 Al 1.74
O 0.6101 0.3899 0.3899  1 Sm 2.30, 3 Pb 2.33
O 0.3412 0.3412 0.9855  2 Al 1.74
O 0.3899 0.6101 0.3899  1 Sm 2.30, 3 Pb 2.33
O 0.3412 0.9855 0.3412  2 Al 1.74
O 0.1588 0.1588 0.5145  2 Al 1.74
Pb 0.8667 0.1333 0.8667  3 O 2.33
Al 0.5000 0.7500 0.0000  4 O 1.74
O 0.0145 0.6588 0.3412  2 Al 1.74
O 0.8412 0.1588 0.4855  2 Al 1.74
Al 0.2500 0.5000 0.0000  4 O 1.74
O 0.4855 0.8412 0.1588  2 Al 1.74
O 0.6588 0.9855 0.6588  2 Al 1.74
Pb 0.6333 0.6333 0.3667  3 O 2.33
Pb 0.3667 0.6333 0.6333  3 O 2.33
Al 0.7500 0.0000 0.5000  4 O 1.74
O 0.6101 0.6101 0.6101  1 Sm 2.30, 3 Pb 2.33
Al 0.5000 0.0000 0.7500  4 O 1.74
Sm 0.2500 0.7500 0.2500  8 O 2.30-2.55
Al 0.0000 0.5000 0.7500  4 O 1.74
O 0.1588 0.8412 0.4855  2 Al 1.74
Pb 0.1333 0.8667 0.8667  3 O 2.33
Pb 0.6333 0.3667 0.6333  3 O 2.33
Sm 0.7500 0.2500 0.2500  8 O 2.30-2.55
Al 0.5000 0.2500 0.0000  4 O 1.74
O 0.3412 0.0145 0.6588  2 Al 1.74
Sm 0.7500 0.7500 0.7500  8 O 2.30-2.55
O 0.9855 0.3412 0.3412  2 Al 1.74
O 0.0145 0.3412 0.6588  2 Al 1.74
O 0.6588 0.0145 0.3412  2 Al 1.74
O 0.6588 0.6588 0.9855  2 Al 1.74
O 0.1101 0.8899 0.1101  1 Sm 2.30, 3 Pb 2.33
O 0.3899 0.3899 0.6101  1 Sm 2.30, 3 Pb 2.33
Pb 0.1333 0.1333 0.1333  3 O 2.33
O 0.5145 0.8412 0.8412  2 Al 1.74
O 0.8899 0.8899 0.8899  1 Sm 2.30, 3 Pb 2.33
O 0.3412 0.6588 0.0145  2 Al 1.74
Al 0.7500 0.5000 0.0000  4 O 1.74
O 0.1101 0.1101 0.8899  1 Sm 2.30, 3 Pb 2.33
Al 0.0000 0.2500 0.5000  4 O 1.74
O 0.8899 0.1101 0.1101  1 Sm 2.30, 3 Pb 2.33
Al 0.0000 0.5000 0.2500  4 O 1.74
O 0.8412 0.4855 0.1588  2 Al 1.74
O 0.8412 0.5145 0.8412  2 Al 1.74
Pb 0.3667 0.3667 0.3667  3 O 2.33
O 0.6588 0.3412 0.0145  2 Al 1.74
O 0.1588 0.4855 0.8412  2 Al 1.74

Entry 6:
Material: CrCdPb2
Method: DFT, meta-GGA SCAN
State: single point on PBEsol structure

Calculated values
Calculated total energy   -199.553 eV per cell
ΔH_f (0 K)   202 meV/atom
ρ   10.2 g cm⁻³

abc: 3.5468 4.7054 5.8972
angles: 90.00 107.30 90.00
With the nearest neighbours (Å) after each atom.
Positions (direct):
Pb 0.0265 0.0000 0.9306  4 Cr 3.06-3.07, 3 Cd 3.09-3.10
Pb 0.7176 0.5000 0.3097  3 Cr 2.98-3.20, 4 Cd 3.10
Cr 0.4540 0.5000 0.7801  2 Cd 2.90, 7 Pb 2.98-3.20
Cd 0.3018 0.0000 0.4796  2 Cr 2.90, 7 Pb 3.09-3.10

Entry 7:
Material: Li2Si2NiO6
Method: DFT, meta-GGA SCAN
State: single point on PBEsol structure

Calculated values
Calculated total energy   -212.489 eV per cell
Excess energy over the best structure of this formula in the dataset   0 meV/atom
ρ   3.1 g cm⁻³
Energy relative to the elements, uncorrected   -27.9 eV/f.u.

abc: 5.1054 5.1054 10.0442
angles: 105.73 105.73 86.19
With the nearest neighbours (Å) after each atom.
Positions (direct):
O 0.3547 0.1662 0.9976  1 Si 1.61
O 0.2462 0.7709 0.2334  2 Si 1.66-1.67
O 0.7359 0.4924 0.6616  1 Si 1.63
O 0.9192 0.1757 0.1616  1 Si 1.63
O 0.2125 0.2371 0.7334  2 Si 1.66-1.67
Ni 0.6942 0.3058 0.0000  4 O 1.91-1.97
Si 0.9316 0.8554 0.1591  4 O 1.61-1.67
O 0.8338 0.6453 0.0024  1 Si 1.61
Li 0.6584 0.7399 0.8315  3 O 1.88-1.96
Li 0.8417 0.4231 0.3315  3 O 1.88-1.96
O 0.1071 0.4186 0.5024  1 Si 1.61
Li 0.2601 0.3416 0.1685  3 O 1.88-1.96
O 0.7629 0.7875 0.2666  2 Si 1.66-1.67
O 0.5076 0.2641 0.3384  1 Si 1.63
O 0.2291 0.7538 0.7666  2 Si 1.66-1.67
O 0.5814 0.8929 0.4976  1 Si 1.61
Si 0.1446 0.0684 0.8409  4 O 1.61-1.67
Li 0.5769 0.1583 0.6685  3 O 1.88-1.96
Si 0.5225 0.9463 0.3409  4 O 1.61-1.67
Si 0.0537 0.4775 0.6591  4 O 1.61-1.67
O 0.8243 0.0808 0.8384  1 Si 1.63
Ni 0.4442 0.5558 0.5000  4 O 1.91-1.97

Entry 8:
Material: CoB2Se
Method: DFT, meta-GGA SCAN
State: single point on PBEsol structure

Calculated values
Calculated total energy   -99.670 eV per cell
ρ   5.4 g cm⁻³
Energy relative to the elements, uncorrected   2.4 eV/f.u.

abc: 4.7262 4.7262 5.5254
angles: 115.32 115.32 90.00
With the nearest neighbours (Å) after each atom.
Positions (direct):
Se 0.0000 0.0000 0.0000  4 B 2.08
B 0.6250 0.5963 0.7500  2 Co 1.92, 2 Se 2.08
Co 0.5000 0.5000 0.0000  4 B 1.92
B 0.1250 0.1537 0.7500  2 Co 1.92, 2 Se 2.08
B 0.4037 0.8750 0.2500  2 Co 1.92, 2 Se 2.08
B 0.8463 0.3750 0.2500  2 Co 1.92, 2 Se 2.08
Co 0.7500 0.2500 0.5000  4 B 1.92
Se 0.2500 0.7500 0.5000  4 B 2.08